Tl2AgCl, single point on PBEsol structure, DFT SCAN; symmetry = C2/m, No. 12; DFT total energy = -46.2400 eV per atom; mass density = 8.7 g/cm3; formation energy from raw total energies = -0.22 eV/atom; energy above the lowest structure with this stoichiometry = 17 kJ/mol of formula units
1.0
3.493 -1.982 0.000
3.493 1.982 0.000
-2.276 0.000 7.588
Tl Ag Cl
2 1 1
Direct
0.246 0.246 0.234 Tl
0.754 0.754 0.766 Tl
0.500 0.500 0.000 Ag
0.000 0.000 0.500 Cl